# Ce2NpCd

A relaxed structure of Ce2NpCd (PBE, Alexandria via LeMat-Bulk).

For the density of states at the Fermi level, the calculation gives 2.52 states/eV per atom. As for the calculated volume: 95 Å³ per cell. Its formation enthalpy at 0 K is 91 meV/atom.

The structure belongs to space group P4/mmm (No. 123); the cell edges are 3.0494, 3.0494 and 10.2164 Å and the angles 90.00°, 90.00° and 90.00°. The inequivalent atoms are Ce at (0.0000, 0.0000, 0.2394), Np at (0.5000, 0.5000, 0.0000) and Cd at (0.5000, 0.5000, 0.5000).


# CeNpCd4

A relaxed structure of CeNpCd4 (PBE, Alexandria via LeMat-Bulk).

For the density of states at the Fermi level, the calculation gives 3.29 states/eV per atom. As for the calculated volume: 592 Å³ per cell. Its formation enthalpy at 0 K is 59 meV/atom.

The structure belongs to space group F-43m (No. 216); the cell edges are 8.3944, 8.3944 and 8.3944 Å and the angles 90.00°, 90.00° and 90.00°. The inequivalent atoms are Ce at (0.0000, 0.0000, 0.0000), Np at (0.2500, 0.2500, 0.7500) and Cd at (0.1249, 0.1249, 0.3751).


# CeNpCd

A relaxed structure of CeNpCd (PBE, Alexandria via LeMat-Bulk).

For the density of states at the Fermi level, the calculation gives 2.00 states/eV per atom. As for the calculated volume: 290 Å³ per cell. Its formation enthalpy at 0 K is 2 meV/atom.

The structure belongs to space group C2/m (No. 12); the cell edges are 11.2295, 3.4832 and 7.4949 Å and the angles 90.00°, 97.84° and 90.00°. The inequivalent atoms are Ce at (0.0156, 0.0000, 0.3159), Np at (0.2502, 0.0000, 0.3927) and Cd at (0.1451, 0.5000, 0.0162).


# Ce2NpCd

A relaxed structure of Ce2NpCd (PBE, Alexandria via LeMat-Bulk).

For the density of states at the Fermi level, the calculation gives 1.92 states/eV per atom. As for the calculated volume: 335 Å³ per cell. Its formation enthalpy at 0 K is 411 meV/atom.

The structure belongs to space group R-3m (No. 166, hexagonal axes); the cell edges are 3.6512, 3.6512 and 28.9842 Å and the angles 90.00°, 90.00° and 120.00°. The inequivalent atoms are Ce at (0.0000, 0.0000, 0.1134), Np at (0.0000, 0.0000, 0.5000) and Cd at (0.0000, 0.0000, 0.0000).


# CeNpCdO6

A relaxed structure of CeNpCdO6 (PBE, Alexandria via LeMat-Bulk).

For the density of states at the Fermi level, the calculation gives 0.29 states/eV per atom. As for the calculated volume: 269 Å³ per cell. For the uncorrected formation energy, the calculation gives -2.551 eV/atom.

The structure belongs to space group P-31c (No. 163); the cell edges are 5.6088, 5.6088 and 9.8870 Å and the angles 90.00°, 90.00° and 120.00°. The inequivalent atoms are Ce at (0.0000, 0.0000, 0.0000), Np at (0.3333, 0.6667, 0.2500), Cd at (0.3333, 0.6667, 0.7500) and O at (0.0352, 0.3529, 0.1308).


# CeNpCd2O8

A relaxed structure of CeNpCd2O8 (PBE, Alexandria via LeMat-Bulk).

For the density of states at the Fermi level, the calculation gives 0.57 states/eV per atom. As for the calculated volume: 356 Å³ per cell. For the uncorrected formation energy, the calculation gives -2.059 eV/atom.

The structure belongs to space group Cmmm (No. 65); the cell edges are 6.9710, 7.1557 and 7.1439 Å and the angles 90.00°, 90.00° and 90.00°. The inequivalent atoms are Ce at (0.0000, 0.0000, 0.0000), Np at (0.0000, 0.0000, 0.5000), Cd at (0.0000, 0.5000, 0.2515), O at (0.0000, 0.1799, 0.2781), O at (0.2032, 0.5000, 0.0000) and O at (0.2177, 0.5000, 0.5000).


# CeCdO

A relaxed structure of CeCdO (PBE, Alexandria via LeMat-Bulk).

For the density of states at the Fermi level, the calculation gives 1.65 states/eV per atom. As for the calculated volume: 130 Å³ per cell. For the uncorrected formation energy, the calculation gives -1.960 eV/atom.

The structure belongs to space group P4/nmm (No. 129, origin choice 2); the cell edges are 3.9929, 3.9929 and 8.1619 Å and the angles 90.00°, 90.00° and 90.00°. The inequivalent atoms are Ce at (0.2500, 0.2500, 0.1453), Cd at (0.2500, 0.2500, 0.5884) and O at (0.2500, 0.7500, 0.0000).


# Ce3CdO

A relaxed structure of Ce3CdO (PBE, Alexandria via LeMat-Bulk).

For the density of states at the Fermi level, the calculation gives 1.97 states/eV per atom. As for the calculated volume: 117 Å³ per cell. For the uncorrected formation energy, the calculation gives -1.180 eV/atom.

The structure belongs to space group Pm-3m (No. 221); the cell edges are 4.8960, 4.8960 and 4.8960 Å and the angles 90.00°, 90.00° and 90.00°. The inequivalent atoms are Ce at (0.0000, 0.0000, 0.5000), Cd at (0.5000, 0.5000, 0.5000) and O at (0.0000, 0.0000, 0.0000).


Q: Which of these has the highest calculated volume?
A: CeNpCd4


Q: Number 2 is which compound?
A: CeNpCd4


Q: What is the formula in the second record?
A: CeNpCd4